Record 1
Entry from Alexandria: an optimized crystal structure of SrY3Se (PBE).

Properties
Its distance to the lowest polymorph of the same formula is 0.000 eV/atom. The magnetic moment is 0.00 μB/cell. The uncorrected formation energy is -463.2 meV/atom. The calculation puts the total energy at -5.375 eV per atom.

The structure in POSCAR format:
```
SrY3Se
1.0
-0.630 -0.488 5.520
-3.112 -4.566 -0.759
4.586 -3.166 0.243
Sr Y Se
1 3 1
Direct
0.500 0.500 0.500 Sr
0.500 0.000 0.000 Y
0.000 0.000 0.500 Y
0.000 0.500 0.000 Y
0.000 0.000 0.000 Se
```



Record 2
Entry from Alexandria: an optimized crystal structure of SrY2Se (PBE).

Properties
The magnetic moment is 1.28 μB/cell. The uncorrected formation energy is -792.6 meV/atom. The calculation puts the total energy at -5.316 eV per atom.

The structure in POSCAR format:
```
SrY2Se
1.0
-6.719 3.218 -7.096
-4.524 0.753 -9.210
-7.479 -0.627 -7.037
Se Y Sr
1 2 1
Direct
0.505 0.505 0.505 Se
0.232 0.232 0.232 Y
0.992 0.992 0.992 Y
0.770 0.770 0.770 Sr
```



Record 3
Entry from Alexandria: an optimized crystal structure of SrYSe2 (PBE).

Properties
Its distance to the lowest polymorph of the same formula is 0.352 eV/atom. The magnetic moment is 0.00 μB/cell. The uncorrected formation energy is -1540.3 meV/atom. The calculation puts the total energy at -5.319 eV per atom.

The structure in POSCAR format:
```
SrYSe2
1.0
0.808 9.193 1.539
4.858 7.873 1.391
2.742 8.664 -2.223
Y Se Sr
1 2 1
Direct
0.500 0.500 0.500 Y
0.890 0.890 0.890 Se
0.110 0.110 0.110 Se
0.000 0.000 0.000 Sr
```



Record 4
Entry from Alexandria: an optimized crystal structure of SrY2Se3 (PBE).

Properties
The magnetic moment is 0.00 μB/cell. The uncorrected formation energy is -1827.7 meV/atom. The calculation puts the total energy at -6.005 eV per atom.

The structure in POSCAR format:
```
SrY2Se3
1.0
4.009 0.000 -1.136
-0.621 5.474 -2.190
-0.107 -0.316 7.264
Se Sr Y
3 1 2
Direct
0.000 0.000 0.000 Se
0.676 0.676 0.352 Se
0.324 0.324 0.648 Se
0.000 0.500 0.000 Sr
0.662 0.162 0.324 Y
0.338 0.838 0.676 Y
```



Record 5
Entry from Alexandria: an optimized crystal structure of SrY2Se (PBE).

Properties
The magnetic moment is 0.66 μB/cell. The uncorrected formation energy is -30.2 meV/atom. The calculation puts the total energy at -4.554 eV per atom.

The structure in POSCAR format:
```
SrY2Se
1.0
-2.957 -4.723 0.514
0.444 -3.087 4.646
-4.267 -0.250 3.611
Y Sr Se
2 1 1
Direct
0.000 0.000 0.000 Y
0.250 0.250 0.250 Y
0.750 0.750 0.750 Sr
0.500 0.500 0.500 Se
```



Record 6
Entry from Alexandria: an optimized crystal structure of SrY2Se (PBE).

Properties
The magnetic moment is 0.00 μB/cell. The uncorrected formation energy is -622.0 meV/atom. The calculation puts the total energy at -5.146 eV per atom.

The structure in POSCAR format:
```
SrY2Se
1.0
-2.335 -2.902 -0.264
3.531 -0.917 -0.798
1.648 -2.222 9.841
Y Se Sr
2 1 1
Direct
0.000 0.000 0.061 Y
0.000 0.000 0.439 Y
0.500 0.500 0.250 Se
0.500 0.500 0.750 Sr
```



Record 7
Entry from Alexandria: an optimized crystal structure of SrY3Se (PBE).

Properties
Its distance to the lowest polymorph of the same formula is 1.560 eV/atom. The magnetic moment is 0.00 μB/cell. The uncorrected formation energy is 1096.7 meV/atom. The calculation puts the total energy at -3.815 eV per atom.

The structure in POSCAR format:
```
SrY3Se
1.0
-0.308 -5.293 1.915
2.480 -1.849 -4.713
5.053 0.585 2.430
Sr Y Se
1 3 1
Direct
0.000 0.000 0.000 Sr
0.000 0.000 0.500 Y
0.000 0.500 0.000 Y
0.500 0.000 0.000 Y
0.500 0.500 0.500 Se
```



Record 8
Entry from Alexandria: an optimized crystal structure of SrYSe (PBE).

Properties
Its distance to the lowest polymorph of the same formula is 0.411 eV/atom. The magnetic moment is 0.06 μB/cell. The uncorrected formation energy is -691.5 meV/atom. The calculation puts the total energy at -4.568 eV per atom.

The structure in POSCAR format:
```
SrYSe
1.0
-2.911 2.288 -3.418
0.307 -1.313 -4.855
-3.786 -2.516 -2.174
Y Sr Se
1 1 1
Direct
0.500 0.500 0.500 Y
0.000 0.000 0.000 Sr
0.750 0.750 0.750 Se
```



Record 9
Entry from Alexandria: an optimized crystal structure of SrYSe2 (PBE).

Properties
Its distance to the lowest polymorph of the same formula is 0.357 eV/atom. The magnetic moment is 1.93 μB/cell. The uncorrected formation energy is -1535.0 meV/atom. The calculation puts the total energy at -5.314 eV per atom.

The structure in POSCAR format:
```
SrYSe2
1.0
-0.542 4.626 4.868
-5.522 2.472 -2.963
-6.754 -0.570 4.452
Se Y Sr
4 2 2
Direct
0.875 0.905 0.750 Se
0.095 0.625 0.250 Se
0.655 0.125 0.250 Se
0.375 0.345 0.750 Se
0.000 0.000 0.000 Y
0.750 0.250 0.500 Y
0.500 0.500 0.000 Sr
0.250 0.750 0.500 Sr
```



Record 10
Entry from Alexandria: an optimized crystal structure of Sr2YSe3 (PBE).

Properties
The magnetic moment is 0.00 μB/cell. The uncorrected formation energy is -1939.0 meV/atom. The calculation puts the total energy at -5.319 eV per atom.

The structure in POSCAR format:
```
Sr2YSe3
1.0
-6.628 -3.410 0.460
3.290 -1.846 -6.444
7.256 -7.456 8.734
Se Sr Y
12 8 4
Direct
0.086 0.070 0.672 Se
0.233 0.233 0.000 Se
0.663 0.148 0.828 Se
0.017 0.517 0.500 Se
0.164 0.680 0.828 Se
0.767 0.767 0.000 Se
0.587 0.602 0.672 Se
0.483 0.983 0.500 Se
0.852 0.337 0.172 Se
0.320 0.836 0.172 Se
0.398 0.413 0.328 Se
0.930 0.914 0.328 Se
0.998 0.498 0.997 Sr
0.502 0.002 0.003 Sr
0.832 0.332 0.664 Sr
0.418 0.418 0.836 Sr
0.582 0.582 0.164 Sr
0.748 0.748 0.497 Sr
0.668 0.168 0.336 Sr
0.252 0.252 0.503 Sr
0.917 0.917 0.833 Y
0.333 0.833 0.667 Y
0.167 0.667 0.333 Y
0.083 0.083 0.167 Y
```



Record 11
Entry from Alexandria: an optimized crystal structure of SrYSe2 (PBE).

Properties
Its distance to the lowest polymorph of the same formula is 0.000 eV/atom. The magnetic moment is 0.00 μB/cell. The uncorrected formation energy is -1892.1 meV/atom. The calculation puts the total energy at -5.671 eV per atom.

The structure in POSCAR format:
```
SrYSe2
1.0
-3.262 5.351 4.034
-6.337 2.749 2.799
-3.919 1.736 6.097
Se Y Sr
2 1 1
Direct
0.006 0.006 0.006 Se
0.494 0.494 0.494 Se
0.750 0.750 0.750 Y
0.250 0.250 0.250 Sr
```



Record 12
Entry from Alexandria: an optimized crystal structure of SrYSe2 (PBE).

Properties
Its distance to the lowest polymorph of the same formula is 0.497 eV/atom. The magnetic moment is 0.67 μB/cell. The uncorrected formation energy is -1394.7 meV/atom. The calculation puts the total energy at -5.173 eV per atom.

The structure in POSCAR format:
```
SrYSe2
1.0
-1.058 -2.245 7.116
-0.794 -6.716 3.327
3.830 4.327 -4.838
Se Y Sr
2 1 1
Direct
0.000 0.000 0.000 Se
0.250 0.750 0.500 Se
0.750 0.250 0.500 Y
0.500 0.500 0.000 Sr
```